CsNiAsF6 PBE with a Hubbard U optimized geometry; E_tot = -4.4241 eV/atom; SG = No. 1
1.0
5.4117 0.0000 0.0000
-2.3373 4.9042 0.0000
-0.1513 -0.1667 6.4482
Cs Ni As F
1 1 1 6
direct
0.0000 0.0000 0.0000
0.3257 0.6754 0.5000
0.6735 0.3263 0.5000
0.0468 0.4291 0.6931
0.3821 0.3694 0.3371
0.3907 0.0176 0.6744
0.5690 0.9546 0.3061
0.6332 0.6159 0.6627
0.9787 0.6090 0.3262